(i)
Below is Pr3Sm4Dy5 after structural relaxation, with properties calculated at the PBE level.

Computed properties:
Symmetry = C2/m, No. 12
Volume = 409.1 Å³/f.u.

Cell and atoms, written as POSCAR:
```
Pr3Sm4Dy5
1.0
6.0022 0.0000 0.0000
3.0011 7.6228 -2.6993
3.0011 -0.9174 9.2668
Pr Sm Dy
3 4 5
direct
0.5223 0.6871 0.2684
0.0000 0.5000 0.5000
0.4777 0.3129 0.7316
0.8609 0.2224 0.0558
0.1700 0.0392 0.6207
0.8300 0.9608 0.3793
0.1391 0.7776 0.9442
0.6245 0.9477 0.8032
0.5000 0.5000 0.5000
0.2160 0.4558 0.1122
0.7840 0.5442 0.8878
0.3755 0.0523 0.1968
```

(ii)
Below is Pr3Sm4Dy5 after structural relaxation, with properties calculated at the PBE level.

Computed properties:
Symmetry = P-1, No. 2
Volume = 400.2 Å³/f.u.

Cell and atoms, written as POSCAR:
```
Pr3Sm4Dy5
1.0
6.9603 -0.3487 1.9036
-5.2435 7.4775 -6.8685
4.0676 -3.7884 11.7823
Pr Sm Dy
3 4 5
direct
0.5830 0.1654 0.3324
0.0000 0.0000 0.5000
0.4170 0.8346 0.6676
0.9175 0.8360 0.6686
0.8311 0.6634 0.8325
0.1689 0.3366 0.1675
0.0825 0.1640 0.3314
0.3310 0.6666 0.8351
0.5000 0.0000 0.5000
0.7501 0.5013 0.0010
0.2499 0.4987 0.9990
0.6690 0.3334 0.1649
```

Last place for stability: (i)

(i)
Below is Pr6Sm2Dy after structural relaxation, with properties calculated at the PBE level.

Computed properties:
Symmetry = Cmmm, No. 65
Volume = 318.5 Å³/f.u.

Cell and atoms, written as POSCAR:
```
Pr6Sm2Dy
1.0
3.6902 -0.0005 0.0006
0.0005 9.2896 4.2375
-0.0014 1.7022 10.0675
Pr Sm Dy
6 2 1
direct
0.0000 0.5101 0.1605
0.0000 0.8395 0.4899
0.0000 0.4899 0.8395
0.5000 0.6841 0.3159
0.0000 0.1605 0.5101
0.5000 0.3159 0.6841
0.5000 0.1756 0.1756
0.5000 0.8244 0.8244
0.0000 0.0000 0.0000
```

(ii)
Below is Pr6Sm2Dy after structural relaxation, with properties calculated at the PBE level.

Computed properties:
Symmetry = P4_2/mnm, No. 136
Volume = 370.1 Å³/f.u.

Cell and atoms, written as POSCAR:
```
Pr6Sm2Dy
1.0
8.3434 0.0000 0.0000
0.0000 8.3434 0.0000
0.0000 0.0000 10.6343
Pr Sm Dy
12 4 2
direct
0.2619 0.2619 0.3331
0.7381 0.7381 0.3331
0.2381 0.7619 0.8331
0.7619 0.2381 0.8331
0.2381 0.7619 0.1669
0.7619 0.2381 0.1669
0.2619 0.2619 0.6669
0.7381 0.7381 0.6669
0.2614 0.2614 0.0000
0.7386 0.7386 0.0000
0.2386 0.7614 0.5000
0.7614 0.2386 0.5000
0.0000 0.0000 0.3321
0.5000 0.5000 0.8321
0.5000 0.5000 0.1679
0.0000 0.0000 0.6679
0.0000 0.0000 0.0000
0.5000 0.5000 0.5000
```

Last place for stability: (ii)

(i)
Below is Pr8Sm2Dy3 after structural relaxation, with properties calculated at the PBE level.

Computed properties:
Symmetry = C2/m, No. 12
Volume = 456.3 Å³/f.u.

Cell and atoms, written as POSCAR:
```
Pr8Sm2Dy3
1.0
6.1255 0.7457 0.4448
-0.8321 10.3277 -5.8557
2.3421 -1.8495 8.4997
Pr Sm Dy
8 2 3
direct
0.7586 0.4155 0.8309
0.2414 0.5845 0.1691
0.1021 0.8609 0.7218
0.8979 0.1391 0.2782
0.3437 0.9231 0.3251
0.3437 0.4020 0.3251
0.6563 0.5980 0.6749
0.6563 0.0769 0.6749
0.6621 0.6905 0.3810
0.3379 0.3095 0.6190
0.5000 0.0000 0.0000
0.0000 0.2667 0.0000
0.0000 0.7333 0.0000
```

(ii)
Below is Pr8Sm2Dy3 after structural relaxation, with properties calculated at the PBE level.

Computed properties:
Symmetry = P-1, No. 2
Volume = 464.9 Å³/f.u.

Cell and atoms, written as POSCAR:
```
Pr8Sm2Dy3
1.0
-0.9053 2.9603 4.8843
-7.6420 -0.2040 -1.2928
3.1665 -8.8023 5.9183
Pr Sm Dy
8 2 3
direct
0.0005 0.6726 0.3455
0.9995 0.3274 0.6545
0.9994 0.1306 0.2614
0.0006 0.8694 0.7386
0.5001 0.6000 0.7912
0.5001 0.1908 0.7912
0.4999 0.8092 0.2088
0.4999 0.4000 0.2088
0.4992 0.2405 0.4801
0.5008 0.7595 0.5199
0.5000 0.0000 0.0000
0.0000 0.2844 0.9999
0.0000 0.7156 0.0001
```

Last place for stability: (ii)

(i)
Below is PrSmDy5 after structural relaxation, with properties calculated at the PBE level.

Computed properties:
Symmetry = C2/c, No. 15
Volume = 230.5 Å³/f.u.

Cell and atoms, written as POSCAR:
```
PrSmDy5
1.0
6.2007 0.1187 2.7870
2.3255 5.7494 2.7870
1.0785 0.7422 13.7356
Pr Sm Dy
2 2 10
direct
0.7225 0.2775 0.7500
0.2775 0.7225 0.2500
0.0000 0.0000 0.0000
0.0000 0.0000 0.5000
0.1671 0.3944 0.7491
0.6472 0.6950 0.5008
0.3944 0.1671 0.2491
0.1610 0.8390 0.7500
0.3050 0.3528 0.9992
0.6950 0.6472 0.0008
0.8390 0.1610 0.2500
0.6056 0.8329 0.7509
0.3528 0.3050 0.4992
0.8329 0.6056 0.2509
```

(ii)
Below is PrSmDy5 after structural relaxation, with properties calculated at the PBE level.

Computed properties:
Symmetry = Immm, No. 71
Volume = 295.3 Å³/f.u.

Cell and atoms, written as POSCAR:
```
PrSmDy5
1.0
-5.6250 -0.3520 1.2411
-2.4013 -7.4861 0.4110
-1.1773 -2.4807 7.3782
Pr Sm Dy
1 1 5
direct
0.0000 0.0000 0.0000
0.5000 0.5000 0.5000
0.5000 0.1799 0.8201
0.5000 0.8201 0.1799
0.7475 0.2525 0.2525
0.2525 0.7475 0.7475
0.0000 0.5000 0.5000
```

Last place for stability: (ii)

(i)
Below is PrSm4Dy7 after structural relaxation, with properties calculated at the PBE level.

Computed properties:
Symmetry = P-1, No. 2
Volume = 395.3 Å³/f.u.

Cell and atoms, written as POSCAR:
```
PrSm4Dy7
1.0
6.7165 1.3485 0.5387
4.4395 7.3197 2.0700
-1.3687 -0.5737 8.9651
Pr Sm Dy
1 4 7
direct
0.0000 0.0000 0.0000
0.5582 0.6389 0.2868
0.4418 0.3611 0.7132
0.7734 0.8370 0.6874
0.2266 0.1630 0.3126
0.7363 0.5145 0.9499
0.2637 0.4855 0.0501
0.9814 0.3166 0.6426
0.0186 0.6834 0.3574
0.2940 0.8090 0.6145
0.5000 0.0000 0.0000
0.7060 0.1910 0.3855
```

(ii)
Below is PrSm4Dy7 after structural relaxation, with properties calculated at the PBE level.

Computed properties:
Symmetry = C2/m, No. 12
Volume = 405.2 Å³/f.u.

Cell and atoms, written as POSCAR:
```
PrSm4Dy7
1.0
-4.1475 3.3163 2.6424
-9.9961 -3.2005 -5.0159
-2.8513 -2.6602 5.5204
Pr Sm Dy
1 4 7
direct
0.0000 0.0000 0.0000
0.6344 0.2239 0.5073
0.3656 0.7761 0.4927
0.7621 0.6758 0.7999
0.2379 0.3242 0.2001
0.7893 0.9224 0.4990
0.2107 0.0776 0.5010
0.0638 0.6758 0.1967
0.9362 0.3242 0.8033
0.3678 0.4995 0.7650
0.5000 0.0000 0.0000
0.6322 0.5005 0.2350
```

Last place for stability: (ii)

(i)
Below is Pr8Sm3Dy4 after structural relaxation, with properties calculated at the PBE level.

Computed properties:
Symmetry = R-3m, No. 166
Volume = 525.6 Å³/f.u.

Cell and atoms, written as POSCAR:
```
Pr8Sm3Dy4
1.0
6.2421 0.0000 3.3665
2.2132 5.8366 3.3665
-2.6250 -1.8120 12.3375
Pr Sm Dy
8 3 4
direct
0.2464 0.2464 0.2607
0.2496 0.7511 0.2482
0.7511 0.7511 0.2482
0.7511 0.2496 0.2482
0.7536 0.7536 0.7393
0.7504 0.2489 0.7518
0.2489 0.2489 0.7518
0.2489 0.7504 0.7518
0.5000 0.0000 0.5000
0.0000 0.0000 0.5000
0.0000 0.5000 0.5000
0.0000 0.0000 0.0000
0.3352 0.3352 0.9944
0.5000 0.5000 0.5000
0.6648 0.6648 0.0056
```

(ii)
Below is Pr8Sm3Dy4 after structural relaxation, with properties calculated at the PBE level.

Computed properties:
Symmetry = C2/m, No. 12
Volume = 526.6 Å³/f.u.

Cell and atoms, written as POSCAR:
```
Pr8Sm3Dy4
1.0
-3.7599 -5.3403 2.3774
8.2341 -2.7619 -3.6154
5.6419 3.6128 6.6042
Pr Sm Dy
8 3 4
direct
0.7747 0.2944 0.2944
0.0000 0.7051 0.2949
0.2150 0.2455 0.2455
0.5000 0.7538 0.2462
0.5000 0.2462 0.7538
0.7850 0.7545 0.7545
0.0000 0.2949 0.7051
0.2253 0.7056 0.7056
0.5000 0.5000 0.0000
0.5000 0.0000 0.5000
0.5000 0.5000 0.5000
0.5000 0.0000 0.0000
0.0000 0.5000 0.0000
0.0000 0.0000 0.0000
0.0000 0.0000 0.5000
```

Last place for stability: (ii)

(i)
Below is PrSm3Dy6 after structural relaxation, with properties calculated at the PBE level.

Computed properties:
Symmetry = Cmc2_1, No. 36
Volume = 331.2 Å³/f.u.

Cell and atoms, written as POSCAR:
```
PrSm3Dy6
1.0
-2.8424 -4.1659 3.7191
8.2563 -7.1140 -1.6586
0.5607 7.1167 8.4003
Pr Sm Dy
2 6 12
direct
0.1373 0.2023 0.7977
0.6373 0.7977 0.2023
0.4619 0.9369 0.7154
0.9619 0.7154 0.9369
0.0690 0.3899 0.6101
0.5690 0.6101 0.3899
0.9619 0.0631 0.2846
0.4619 0.2846 0.0631
0.0369 0.7118 0.6185
0.5369 0.6185 0.7118
0.3702 0.5358 0.9572
0.8702 0.9572 0.5358
0.4002 0.9566 0.0434
0.6408 0.2799 0.7201
0.1408 0.7201 0.2799
0.9002 0.0434 0.9566
0.3702 0.0428 0.4642
0.8702 0.4642 0.0428
0.0369 0.3815 0.2882
0.5369 0.2882 0.3815
```

(ii)
Below is PrSm3Dy6 after structural relaxation, with properties calculated at the PBE level.

Computed properties:
Symmetry = R32, No. 155
Volume = 331.6 Å³/f.u.

Cell and atoms, written as POSCAR:
```
PrSm3Dy6
1.0
-2.6989 -4.6059 8.3623
2.2943 -9.5554 1.3625
3.2253 -3.6771 4.9008
Pr Sm Dy
1 3 6
direct
0.8999 0.8999 0.3002
0.4000 0.4000 0.8001
0.6478 0.6478 0.0567
0.1522 0.1522 0.5433
0.9000 0.5721 0.2999
0.2280 0.9000 0.2999
0.5721 0.2280 0.2999
0.0737 0.3999 0.8000
0.7264 0.0737 0.8000
0.3999 0.7264 0.8000
```

Last place for stability: (ii)

(i)
Below is PrSm2Dy3 after structural relaxation, with properties calculated at the PBE level.

Computed properties:
Symmetry = Cmc2_1, No. 36
Volume = 202.7 Å³/f.u.

Cell and atoms, written as POSCAR:
```
PrSm2Dy3
1.0
6.4080 0.0000 0.0000
0.0000 7.4660 3.3072
0.0000 -0.7746 8.1289
Pr Sm Dy
2 4 6
direct
0.7892 0.8244 0.8244
0.2892 0.1756 0.1756
0.5666 0.7397 0.3767
0.0666 0.6233 0.2603
0.5666 0.3767 0.7397
0.0666 0.2603 0.6233
0.1105 0.8770 0.5125
0.6105 0.4875 0.1230
0.1105 0.5125 0.8770
0.6105 0.1230 0.4875
0.3147 0.9177 0.9177
0.8147 0.0823 0.0823
```

(ii)
Below is PrSm2Dy3 after structural relaxation, with properties calculated at the PBE level.

Computed properties:
Symmetry = C2/c, No. 15
Volume = 197.2 Å³/f.u.

Cell and atoms, written as POSCAR:
```
PrSm2Dy3
1.0
-3.3813 -4.3655 -3.7774
5.7221 -0.5408 -3.4242
2.0831 -5.5849 6.7905
Pr Sm Dy
2 4 6
direct
0.0864 0.9136 0.2500
0.9136 0.0864 0.7500
0.8707 0.3764 0.1260
0.6236 0.1293 0.3740
0.1293 0.6236 0.8740
0.3764 0.8707 0.6260
0.1647 0.3323 0.4984
0.6677 0.8353 0.0016
0.8353 0.6677 0.5016
0.3323 0.1647 0.9984
0.4196 0.5804 0.2500
0.5804 0.4196 0.7500
```

Last place for stability: (i)